# 1
# Rb2VBrCl5 PBE-GGA optimized geometry
data_Rb2VBrCl5
_chemical_formula_sum 'Rb4 V2 Br2 Cl10'
_cell_length_a 7.255
_cell_length_b 7.255
_cell_length_c 10.267
_cell_angle_alpha 90.00
_cell_angle_beta 90.00
_cell_angle_gamma 90.00
_symmetry_space_group_name_H-M 'I 4 m m'
_symmetry_Int_Tables_number 107
_symmetry_space_group_name_Hall 'I 4 -2'
loop_
_atom_site_label
_atom_site_type_symbol
_atom_site_fract_x
_atom_site_fract_y
_atom_site_fract_z
Rb1 Rb 0.000 0.500 0.000
V1 V 0.000 0.000 0.248
Br1 Br 0.000 0.000 0.494
Cl1 Cl 0.000 0.000 0.021
Cl2 Cl 0.227 0.227 0.250
# final energy = -3.94 eV/atom
# energy relative to the elements, uncorrected = -1.50 eV/atom
# M_tot = 1.00 μB/f.u.



# 2
# Sm3Al4Ag4 PBE-GGA optimized geometry
data_Sm3Al4Ag4
_chemical_formula_sum 'Sm6 Al8 Ag8'
_cell_length_a 3.718
_cell_length_b 4.633
_cell_length_c 27.945
_cell_angle_alpha 90.00
_cell_angle_beta 90.00
_cell_angle_gamma 90.00
_symmetry_space_group_name_H-M 'I m m m'
_symmetry_Int_Tables_number 71
_symmetry_space_group_name_Hall '-I 2 2'
loop_
_atom_site_label
_atom_site_type_symbol
_atom_site_fract_x
_atom_site_fract_y
_atom_site_fract_z
Sm1 Sm 0.000 0.000 0.000
Sm2 Sm 0.000 0.500 0.145
Al1 Al 0.000 0.000 0.452
Al2 Al 0.000 0.500 0.310
Ag1 Ag 0.000 0.000 0.258
Ag2 Ag 0.000 0.500 0.405
# final energy = -4.04 eV/atom
# M_tot = 0.00 μB/f.u.
# E_form = -353 meV/atom



# 3
# Pr2EuSe PBE-GGA optimized geometry
data_Pr2EuSe
_chemical_formula_sum 'Pr6 Eu3 Se3'
_cell_length_a 3.9982
_cell_length_b 3.9982
_cell_length_c 32.0406
_cell_angle_alpha 90.00
_cell_angle_beta 90.00
_cell_angle_gamma 120.00
_symmetry_space_group_name_H-M 'R -3 m'
_symmetry_Int_Tables_number 166
_symmetry_space_group_name_Hall '-R 3 2"'
loop_
_atom_site_label
_atom_site_type_symbol
_atom_site_fract_x
_atom_site_fract_y
_atom_site_fract_z
Pr1 Pr 0.0000 0.0000 0.1106
Eu1 Eu 0.0000 0.0000 0.0000
Se1 Se 0.0000 0.0000 0.5000
# final energy = -6.50 eV/atom
# energy relative to the elements, uncorrected = -0.67 eV/atom
# M_tot = 7.31 μB/f.u.



# 4
# IrPtSe2 PBE-GGA optimized geometry
data_IrPtSe2
_chemical_formula_sum 'Ir4 Pt4 Se8'
_cell_length_a 5.461
_cell_length_b 5.461
_cell_length_c 11.962
_cell_angle_alpha 90.00
_cell_angle_beta 90.00
_cell_angle_gamma 90.00
_symmetry_space_group_name_H-M 'I -4 2 d'
_symmetry_Int_Tables_number 122
_symmetry_space_group_name_Hall 'I -4 2bw'
loop_
_atom_site_label
_atom_site_type_symbol
_atom_site_fract_x
_atom_site_fract_y
_atom_site_fract_z
Ir1 Ir 0.000 0.000 0.000
Pt1 Pt 0.000 0.000 0.500
Se1 Se 0.238 0.250 0.125
# final energy = -5.33 eV/atom
# energy relative to the elements, uncorrected = 0.13 eV/atom
# M_tot = 0.00 μB/f.u.



# 5
# Y3HfAl8 PBE-GGA optimized geometry
data_Y3HfAl8
_chemical_formula_sum 'Y3 Hf1 Al8'
_cell_length_a 5.4611
_cell_length_b 5.4611
_cell_length_c 9.0902
_cell_angle_alpha 90.00
_cell_angle_beta 90.00
_cell_angle_gamma 120.00
_symmetry_space_group_name_H-M 'P 3 m 1'
_symmetry_Int_Tables_number 156
loop_
_symmetry_equiv_pos_as_xyz
'x,y,z'
'-y,x-y,z'
'-x+y,-x,z'
'-y,-x,z'
'-x+y,y,z'
'x,x-y,z'
loop_
_atom_site_label
_atom_site_type_symbol
_atom_site_fract_x
_atom_site_fract_y
_atom_site_fract_z
Y1 Y 0.0000 0.0000 0.0000
Y2 Y 0.0000 0.0000 0.3673
Y3 Y 0.3333 0.6667 0.8611
Hf1 Hf 0.3333 0.6667 0.4993
Al1 Al 0.0086 0.5043 0.1874
Al2 Al 0.3261 0.1630 0.6745
Al3 Al 0.6667 0.3333 0.4319
Al4 Al 0.6667 0.3333 0.9296
# final energy = -5.42 eV/atom
# M_tot = 0.00 μB/f.u.
# E_form = -477 meV/atom



# 6
# KCd4Rh PBE-GGA optimized geometry
data_KCd4Rh
_chemical_formula_sum 'K2 Cd8 Rh2'
_cell_length_a 8.925
_cell_length_b 4.330
_cell_length_c 7.851
_cell_angle_alpha 90.00
_cell_angle_beta 90.00
_cell_angle_gamma 90.00
_symmetry_space_group_name_H-M 'P m m a'
_symmetry_Int_Tables_number 51
loop_
_symmetry_equiv_pos_as_xyz
'x,y,z'
'-x,-y,-z'
'-x+1/2,-y,z'
'x+1/2,y,-z'
'x+1/2,-y,-z'
'-x+1/2,y,z'
'-x,y,-z'
'x,-y,z'
loop_
_atom_site_label
_atom_site_type_symbol
_atom_site_fract_x
_atom_site_fract_y
_atom_site_fract_z
K1 K 0.250 0.000 0.116
Cd1 Cd 0.000 0.000 0.500
Cd2 Cd 0.072 0.500 0.816
Cd3 Cd 0.250 0.500 0.468
Rh1 Rh 0.250 0.000 0.695
# final energy = -2.09 eV/atom
# M_tot = 0.00 μB/f.u.
# E_form = -68 meV/atom



# 7
# YTaCr2 PBE-GGA optimized geometry
data_YTaCr2
_chemical_formula_sum 'Y4 Ta4 Cr8'
_cell_length_a 7.114
_cell_length_b 7.114
_cell_length_c 5.817
_cell_angle_alpha 90.00
_cell_angle_beta 90.00
_cell_angle_gamma 90.00
_symmetry_space_group_name_H-M 'I -4 2 d'
_symmetry_Int_Tables_number 122
_symmetry_space_group_name_Hall 'I -4 2bw'
loop_
_atom_site_label
_atom_site_type_symbol
_atom_site_fract_x
_atom_site_fract_y
_atom_site_fract_z
Y1 Y 0.000 0.000 0.000
Ta1 Ta 0.000 0.000 0.500
Cr1 Cr 0.218 0.750 0.625
# final energy = -8.38 eV/atom
# M_tot = 0.00 μB/f.u.
# E_form = 1006 meV/atom



# 8
# ThZr4In5 PBE-GGA optimized geometry
data_ThZr4In5
_chemical_formula_sum 'Th1 Zr4 In5'
_cell_length_a 3.235
_cell_length_b 3.235
_cell_length_c 22.292
_cell_angle_alpha 90.00
_cell_angle_beta 90.00
_cell_angle_gamma 90.00
_symmetry_space_group_name_H-M 'P 4/m m m'
_symmetry_Int_Tables_number 123
_symmetry_space_group_name_Hall '-P 4 2'
loop_
_atom_site_label
_atom_site_type_symbol
_atom_site_fract_x
_atom_site_fract_y
_atom_site_fract_z
Th1 Th 0.000 0.000 0.000
Zr1 Zr 0.000 0.000 0.210
Zr2 Zr 0.000 0.000 0.404
In1 In 0.500 0.500 0.114
In2 In 0.500 0.500 0.307
In3 In 0.500 0.500 0.500
# final energy = -5.82 eV/atom
# M_tot = 0.00 μB/f.u.
# E_form = -287 meV/atom



# 9
# ZrBeZnAg PBE-GGA optimized geometry
data_ZrBeZnAg
_chemical_formula_sum 'Zr4 Be4 Zn4 Ag4'
_cell_length_a 6.312
_cell_length_b 6.312
_cell_length_c 6.312
_cell_angle_alpha 90.00
_cell_angle_beta 90.00
_cell_angle_gamma 90.00
_symmetry_space_group_name_H-M 'F -4 3 m'
_symmetry_Int_Tables_number 216
_symmetry_space_group_name_Hall 'F -4 2 3'
loop_
_atom_site_label
_atom_site_type_symbol
_atom_site_fract_x
_atom_site_fract_y
_atom_site_fract_z
Zr1 Zr 0.000 0.000 0.000
Be1 Be 0.250 0.250 0.250
Zn1 Zn 0.250 0.250 0.750
Ag1 Ag 0.000 0.000 0.500
# final energy = -4.12 eV/atom
# M_tot = 0.00 μB/f.u.
# E_form = -20 meV/atom



# 10
# Ca2LaPt PBE-GGA optimized geometry
data_Ca2LaPt
_chemical_formula_sum 'Ca4 La2 Pt2'
_cell_length_a 4.440
_cell_length_b 4.440
_cell_length_c 11.227
_cell_angle_alpha 90.00
_cell_angle_beta 90.00
_cell_angle_gamma 90.00
_symmetry_space_group_name_H-M 'I 4/m m m'
_symmetry_Int_Tables_number 139
_symmetry_space_group_name_Hall '-I 4 2'
loop_
_atom_site_label
_atom_site_type_symbol
_atom_site_fract_x
_atom_site_fract_y
_atom_site_fract_z
Ca1 Ca 0.000 0.500 0.250
La1 La 0.000 0.000 0.000
Pt1 Pt 0.000 0.000 0.500
# final energy = -4.04 eV/atom
# M_tot = 0.00 μB/f.u.
# E_form = -298 meV/atom



# 11
# TiV6Mo12 PBE-GGA optimized geometry
data_TiV6Mo12
_chemical_formula_sum 'Ti3 V18 Mo36'
_cell_length_a 10.9052
_cell_length_b 10.9052
_cell_length_c 9.3065
_cell_angle_alpha 90.00
_cell_angle_beta 90.00
_cell_angle_gamma 120.00
_symmetry_space_group_name_H-M 'R -3 m'
_symmetry_Int_Tables_number 166
_symmetry_space_group_name_Hall '-R 3 2"'
loop_
_atom_site_label
_atom_site_type_symbol
_atom_site_fract_x
_atom_site_fract_y
_atom_site_fract_z
Ti1 Ti 0.0000 0.0000 0.0000
V1 V 0.0269 0.5134 0.7041
Mo1 Mo 0.0000 0.3630 0.5000
Mo2 Mo 0.0827 0.1653 0.3700
# final energy = -9.45 eV/atom
# M_tot = 0.00 μB/f.u.
# E_form = 686 meV/atom



# 12
# PaCrGa2 PBE-GGA optimized geometry
data_PaCrGa2
_chemical_formula_sum 'Pa1 Cr1 Ga2'
_cell_length_a 3.091
_cell_length_b 3.091
_cell_length_c 7.399
_cell_angle_alpha 90.00
_cell_angle_beta 90.00
_cell_angle_gamma 90.00
_symmetry_space_group_name_H-M 'P 4/m m m'
_symmetry_Int_Tables_number 123
_symmetry_space_group_name_Hall '-P 4 2'
loop_
_atom_site_label
_atom_site_type_symbol
_atom_site_fract_x
_atom_site_fract_y
_atom_site_fract_z
Pa1 Pa 0.000 0.000 0.000
Cr1 Cr 0.000 0.000 0.500
Ga1 Ga 0.500 0.500 0.296
# final energy = -6.36 eV/atom
# M_tot = 3.24 μB/f.u.
# E_form = -72 meV/atom



Repeat the twelfth record exactly.
# PaCrGa2 PBE-GGA optimized geometry
data_PaCrGa2
_chemical_formula_sum 'Pa1 Cr1 Ga2'
_cell_length_a 3.091
_cell_length_b 3.091
_cell_length_c 7.399
_cell_angle_alpha 90.00
_cell_angle_beta 90.00
_cell_angle_gamma 90.00
_symmetry_space_group_name_H-M 'P 4/m m m'
_symmetry_Int_Tables_number 123
_symmetry_space_group_name_Hall '-P 4 2'
loop_
_atom_site_label
_atom_site_type_symbol
_atom_site_fract_x
_atom_site_fract_y
_atom_site_fract_z
Pa1 Pa 0.000 0.000 0.000
Cr1 Cr 0.000 0.000 0.500
Ga1 Ga 0.500 0.500 0.296
# final energy = -6.36 eV/atom
# M_tot = 3.24 μB/f.u.
# E_form = -72 meV/atom